Here is crystalline Na2NdMoO6 at its relaxed geometry from Alexandria. Energies are from GGA+U.

Lattice parameters (Å, degrees): 5.7688 5.7684 5.9856 61.19 61.19 60.00
Each line ends with the local moment (μB).
Element x y z (fractional)
O  0.0022  0.5593  0.2469  0.06
O  0.1916  0.0022  0.2468  0.06
O  0.5592  0.1916  0.2469  0.06
O  0.6418  0.1183  0.7923  0.25
O  0.4475  0.6418  0.7923  0.25
O  0.1183  0.4476  0.7924  0.25
Nd  0.8123  0.8123  0.5632  -0.01
Na  0.5382  0.5383  0.3854  0.00
Na  0.0376  0.0376  0.8874  0.00
Mo  0.3128  0.3128  0.0617  -0.09

Summary:
energy: -6.3734 eV/atom
SG: R3